# 1
The following is a DFT calculation (PBE) of crystalline La2Pm3Y3 at its relaxed geometry.

E (eV/atom): -5.316
Space-group type: Cmcm
Offset from the most stable computed form (meV per atom): 101
Density of states at the Fermi level (states/eV per cell): 25.9
Magnetic moment (Bohr magnetons per cell): 0.000

Cell: 3.633 8.968 17.453 Å, 90.00 90.00 101.69°
Fractional positions:
Y  0.998  0.996  0.601
Y  0.583  0.167  0.250
La  0.772  0.545  0.652
Pm  0.396  0.792  0.250
La  0.228  0.455  0.152
Y  0.002  0.004  0.399
Y  0.998  0.996  0.899
Y  0.002  0.004  0.101
Pm  0.604  0.208  0.750
Pm  0.352  0.703  0.494
La  0.772  0.545  0.848
Pm  0.648  0.297  0.994
Pm  0.648  0.297  0.506
La  0.228  0.455  0.348
Pm  0.352  0.703  0.006
Y  0.417  0.833  0.750

# 2
The following is a DFT calculation (PBE) of crystalline Pa3Al3Zn8 at its relaxed geometry.

E (eV/atom): -3.708
Space-group type: Immm
Density of states at the Fermi level (states/eV per cell): 13.2
Magnetic moment (Bohr magnetons per cell): 0.666

Cell: 4.274 8.172 8.172 Å, 70.29 74.84 74.84°
Last column: magnetic moment on the atom in μB.
Fractional positions:
Pa  0.809  0.191  0.191  0.06
Zn  0.643  0.631  0.082  0.00
Al  0.000  0.788  0.212  0.00
Zn  0.643  0.082  0.631  0.00
Zn  0.838  0.532  0.793  0.00
Zn  0.162  0.207  0.468  0.00
Zn  0.357  0.369  0.918  0.00
Pa  0.500  0.500  0.500  0.42
Al  0.000  0.212  0.788  0.00
Zn  0.162  0.468  0.207  0.00
Al  0.500  0.000  0.000  0.00
Zn  0.357  0.918  0.369  0.00
Zn  0.838  0.793  0.532  0.00
Pa  0.191  0.809  0.809  0.06

# 3
The following is a DFT calculation (PBE) of crystalline Sr2Ga2Br at its relaxed geometry.

E (eV/atom): -3.203
Energy relative to the elements, uncorrected (eV/atom): -0.98
Space-group type: R-3m
Density of states at the Fermi level (states/eV per cell): 2.0
Magnetic moment (Bohr magnetons per cell): 0.000

Cell: 4.417 4.417 9.048 Å, 90.00 104.12 120.03°
Fractional positions:
Br  0.000  0.000  0.000
Ga  0.653  0.826  0.479
Sr  0.166  0.583  0.748
Ga  0.347  0.174  0.521
Sr  0.834  0.417  0.252

# 4
The following is a DFT calculation (PBE) of crystalline Tb4DyN4 at its relaxed geometry.

E (eV/atom): -7.745
Energy relative to the elements, uncorrected (eV/atom): -1.48
Space-group type: I4/m
Density of states at the Fermi level (states/eV per cell): 2.9
Magnetic moment (Bohr magnetons per cell): 0.000

Cell: 4.953 6.082 6.081 Å, 80.46 65.97 65.97°
Fractional positions:
N  0.098  0.606  0.199
N  0.297  0.801  0.605
Tb  0.609  0.579  0.203
Tb  0.812  0.797  0.579
Tb  0.391  0.421  0.797
Tb  0.188  0.203  0.421
Dy  0.000  0.000  0.000
N  0.902  0.394  0.801
N  0.703  0.199  0.395

# 5
The following is a DFT calculation (PBE) of crystalline In2Ge2Te at its relaxed geometry.

E (eV/atom): -3.485
Energy relative to the elements, uncorrected (eV/atom): 0.09
Space-group type: I4/mmm
Offset from the most stable computed form (meV per atom): 0
Density of states at the Fermi level (states/eV per cell): 2.2
Magnetic moment (Bohr magnetons per cell): 0.000

Cell: 3.919 3.919 8.766 Å, 77.08 77.08 90.00°
Fractional positions:
In  0.603  0.603  0.794
In  0.397  0.397  0.206
Ge  0.750  0.250  0.500
Ge  0.250  0.750  0.500
Te  0.000  0.000  0.000

# 6
The following is a DFT calculation (PBE) of crystalline K4NiI6 at its relaxed geometry.

E (eV/atom): -2.811
Energy relative to the elements, uncorrected (eV/atom): -1.04
Space-group type: P4/mnc
Magnetic moment (Bohr magnetons per cell): 4.000

Cell: 9.631 9.631 9.961 Å, 90.00 90.00 90.00°
Last column: magnetic moment on the atom in μB.
Fractional positions:
I  0.000  0.000  0.777  0.07
K  0.323  0.177  0.250  0.00
I  0.917  0.712  0.500  0.08
I  0.417  0.788  0.000  0.08
Ni  0.500  0.500  0.000  1.29
I  0.288  0.917  0.500  0.08
I  0.712  0.083  0.500  0.08
K  0.323  0.177  0.750  0.00
K  0.677  0.823  0.750  0.00
I  0.500  0.500  0.277  0.07
I  0.583  0.212  0.000  0.08
K  0.177  0.677  0.250  0.00
I  0.500  0.500  0.723  0.07
I  0.000  0.000  0.223  0.07
Ni  0.000  0.000  0.500  1.29
K  0.177  0.677  0.750  0.00
I  0.083  0.288  0.500  0.08
K  0.677  0.823  0.250  0.00
I  0.212  0.417  0.000  0.08
K  0.823  0.323  0.750  0.00
K  0.823  0.323  0.250  0.00
I  0.788  0.583  0.000  0.08

# 7
The following is a DFT calculation (PBE) of crystalline Ca3CeHo3S8 at its relaxed geometry.

E (eV/atom): -5.956
Energy relative to the elements, uncorrected (eV/atom): -2.04
Space-group type: R-3m
Density of states at the Fermi level (states/eV per cell): 9.1
Magnetic moment (Bohr magnetons per cell): 0.944

Cell: 7.890 7.890 7.977 Å, 119.64 90.00 120.00°
Last column: magnetic moment on the atom in μB.
Fractional positions:
S  0.251  0.501  0.742  -0.01
S  0.749  0.499  0.258  -0.01
Ho  0.500  0.000  0.500  0.01
Ca  0.000  0.500  0.000  0.00
S  0.749  0.009  0.258  -0.01
S  0.747  0.495  0.742  0.00
S  0.741  0.991  0.742  -0.01
S  0.253  0.505  0.258  0.00
S  0.251  0.991  0.742  -0.01
Ca  0.000  0.000  0.000  0.00
Ca  0.500  0.500  0.000  0.00
S  0.259  0.009  0.258  -0.01
Ho  0.000  0.500  0.500  0.01
Ho  0.500  0.500  0.500  0.01
Ce  0.000  0.000  0.500  0.80

# 8
The following is a DFT calculation (PBE) of crystalline AuI2NCl at its relaxed geometry.

E (eV/atom): -2.088
Energy relative to the elements, uncorrected (eV/atom): 1.22
Space-group type: P4/mmm
Offset from the most stable computed form (meV per atom): 266
Density of states at the Fermi level (states/eV per cell): 1.7
Magnetic moment (Bohr magnetons per cell): 0.000

Cell: 6.911 6.911 3.274 Å, 90.00 90.00 90.00°
Fractional positions:
N  0.000  0.000  0.500
Au  0.500  0.500  0.500
I  0.000  0.500  0.000
Cl  0.000  0.000  0.000
I  0.500  0.000  0.000

# 9
The following is a DFT calculation (PBE) of crystalline PuPa2N6 at its relaxed geometry.

E (eV/atom): -10.265
Energy relative to the elements, uncorrected (eV/atom): -1.01
Space-group type: C2/m
Offset from the most stable computed form (meV per atom): 0
Density of states at the Fermi level (states/eV per cell): 7.4
Magnetic moment (Bohr magnetons per cell): 2.023

Cell: 3.722 3.713 9.863 Å, 96.35 90.00 120.09°
Last column: magnetic moment on the atom in μB.
Fractional positions:
N  0.054  0.107  0.768  -0.06
N  0.405  0.811  0.953  -0.02
Pa  0.274  0.547  0.172  -0.01
Pa  0.726  0.453  0.828  -0.01
Pu  0.000  0.000  0.500  3.25
N  0.652  0.303  0.422  -0.40
N  0.946  0.893  0.232  -0.06
N  0.595  0.189  0.047  -0.02
N  0.348  0.697  0.578  -0.40

# 10
The following is a DFT calculation (PBE) of crystalline Sr2HfSi2 at its relaxed geometry.

E (eV/atom): -5.046
Energy relative to the elements, uncorrected (eV/atom): -0.21
Space-group type: P4/mbm
Density of states at the Fermi level (states/eV per cell): 1.1
Magnetic moment (Bohr magnetons per cell): 0.000

Cell: 7.256 7.256 4.969 Å, 90.00 90.00 90.00°
Fractional positions:
Sr  0.676  0.824  0.500
Sr  0.176  0.676  0.500
Si  0.622  0.122  0.000
Sr  0.824  0.324  0.500
Si  0.122  0.378  0.000
Hf  0.500  0.500  0.000
Si  0.378  0.878  0.000
Hf  0.000  0.000  0.000
Sr  0.324  0.176  0.500
Si  0.878  0.622  0.000

# 11
The following is a DFT calculation (PBE) of crystalline MgSnHO at its relaxed geometry.

E (eV/atom): -4.347
Space-group type: Amm2
Offset from the most stable computed form (meV per atom): 208
Density of states at the Fermi level (states/eV per cell): 1.2
Magnetic moment (Bohr magnetons per cell): 0.000

Cell: 3.267 12.700 3.234 Å, 90.00 89.93 90.00°
Fractional positions:
H  0.500  0.962  0.500
Mg  0.500  0.534  0.500
O  0.000  0.123  0.000
O  0.000  0.623  0.500
H  0.500  0.462  0.000
Mg  0.500  0.034  0.000
Sn  0.000  0.750  0.000
Sn  0.000  0.250  0.500

# 12
The following is a DFT calculation (PBE) of crystalline NiHg3Pt at its relaxed geometry.

E (eV/atom): -1.887
Space-group type: Pm-3m
Offset from the most stable computed form (meV per atom): 0
Density of states at the Fermi level (states/eV per cell): 3.3
Magnetic moment (Bohr magnetons per cell): 0.000

Cell: 4.875 4.875 4.875 Å, 90.00 90.00 90.00°
Fractional positions:
Hg  0.000  0.500  0.000
Hg  0.000  0.000  0.500
Ni  0.000  0.000  0.000
Hg  0.500  0.000  0.000
Pt  0.500  0.500  0.500